Here is TbTm2ThN4 after structural relaxation from the Alexandria database. Energies are from PBE.

Summary:
The density of states at the Fermi level is 0.21 states/eV per atom. The crystal system is monoclinic. As for the magnetic moment: 0.0 Bohr magnetons per cell. The value obtained for the raw formation energy is -1706 meV per atom.

```
data_TbTm2ThN4
_chemical_formula_sum 'Tb1 Tm2 Th1 N4'
_symmetry_space_group_name_H-M 'P 1'
_symmetry_Int_Tables_number 1
_cell_length_a 6.050
_cell_length_b 3.503
_cell_length_c 6.052
_cell_angle_alpha 90.00
_cell_angle_beta 109.32
_cell_angle_gamma 90.00
loop_
_symmetry_equiv_pos_as_xyz
'x,y,z'
loop_
_atom_site_label
_atom_site_type_symbol
_atom_site_fract_x
_atom_site_fract_y
_atom_site_fract_z
_atom_site_occupancy
Tb1 Tb 0.000 0.000 0.000 1
Tm1 Tm 0.000 0.500 0.500 1
Tm2 Tm 0.500 0.000 0.500 1
Th1 Th 0.500 0.500 0.000 1
N1 N 0.246 0.000 0.741 1
N2 N 0.253 0.500 0.256 1
N3 N 0.747 0.500 0.744 1
N4 N 0.754 0.000 0.259 1
```